{
  "formula": "Nb2Tl2CoS6",
  "functional": "GGA-PBE",
  "state": "relaxed",
  "lattice": [[6.0472, -0.1028, 0.0704], [-3.0782, 5.2061, 0.0704], [-1.0260, -1.7636, 7.7993]],
  "species": ["Tl", "Tl", "S", "S", "S", "S", "S", "S", "Co", "Nb", "Nb"],
  "fractional_positions": [[0.1781, 0.8219, 0.0000], [0.8219, 0.1781, 0.0000], [0.2440, 0.2440, 0.3035], [0.9549, 0.6282, 0.3276], [0.0451, 0.3718, 0.6724], [0.6282, 0.9549, 0.3276], [0.7560, 0.7560, 0.6965], [0.3718, 0.0451, 0.6724], [0.0000, 0.0000, 0.5000], [0.6445, 0.3555, 0.5000], [0.3555, 0.6445, 0.5000]]
}

***

{
  "formula": "Nb3CoSb",
  "functional": "GGA-PBE",
  "state": "relaxed",
  "e_above_lowest_polymorph_mev_per_atom": 1508,
  "lattice": [[-1.1154, -4.8515, 0.2388], [4.7224, -1.0257, 1.2186], [-1.1371, 0.4990, 4.8266]],
  "species": ["Nb", "Nb", "Nb", "Sb", "Co"],
  "fractional_positions": [[0.5000, 0.0000, 0.0000], [0.0000, 0.0000, 0.5000], [0.0000, 0.5000, 0.0000], [0.0000, 0.0000, 0.0000], [0.5000, 0.5000, 0.5000]]
}

***

{
  "formula": "Nb2Co2Sb",
  "functional": "GGA-PBE",
  "state": "relaxed",
  "lattice": [[6.7551, 0.0000, 0.0000], [0.0000, 6.7551, 0.0000], [0.0000, 0.0000, 3.4214]],
  "species": ["Nb", "Nb", "Nb", "Nb", "Co", "Co", "Co", "Co", "Sb", "Sb"],
  "fractional_positions": [[0.3317, 0.1683, 0.5000], [0.6683, 0.8317, 0.5000], [0.8317, 0.3317, 0.5000], [0.1683, 0.6683, 0.5000], [0.1263, 0.3737, 0.0000], [0.3737, 0.8737, 0.0000], [0.6263, 0.1263, 0.0000], [0.8737, 0.6263, 0.0000], [0.0000, 0.0000, 0.0000], [0.5000, 0.5000, 0.0000]]
}

***

{
  "formula": "NbCo2Sb",
  "functional": "GGA-PBE",
  "state": "relaxed",
  "lattice": [[-2.7757, 0.7762, 2.1988], [0.8347, -3.2969, 2.2176], [2.4745, 2.2042, 2.3457]],
  "species": ["Co", "Co", "Sb", "Nb"],
  "fractional_positions": [[0.0000, 0.5000, 0.0000], [0.0000, 0.0000, 0.5000], [0.5000, 0.5000, 0.5000], [0.5000, 0.0000, 0.0000]]
}

***

{
  "formula": "NbCo2Sb",
  "functional": "GGA-PBE",
  "state": "relaxed",
  "lattice": [[-2.1411, 1.3437, 3.2110], [1.3419, -3.1598, 2.2171], [5.9621, 3.4813, 5.1193]],
  "species": ["Co", "Co", "Co", "Co", "Nb", "Nb", "Sb", "Sb"],
  "fractional_positions": [[0.1374, 0.6250, 0.2500], [0.3750, 0.3874, 0.7500], [0.8750, 0.8626, 0.7500], [0.6126, 0.1250, 0.2500], [0.2500, 0.7500, 0.5000], [0.5000, 0.5000, 0.0000], [0.0000, 0.0000, 0.0000], [0.7500, 0.2500, 0.5000]]
}

***

{
  "formula": "Nb3CoSb",
  "functional": "GGA-PBE",
  "state": "relaxed",
  "e_above_lowest_polymorph_mev_per_atom": 0,
  "lattice": [[-4.5981, -0.2721, 0.4434], [0.4739, -3.8177, 2.5717], [0.2147, 2.6008, 3.8214]],
  "species": ["Nb", "Nb", "Nb", "Sb", "Co"],
  "fractional_positions": [[0.5000, 0.0000, 0.0000], [0.0000, 0.5000, 0.0000], [0.0000, 0.0000, 0.5000], [0.5000, 0.5000, 0.5000], [0.0000, 0.0000, 0.0000]]
}

***

{
  "formula": "NbCo3Sb",
  "functional": "GGA-PBE",
  "state": "relaxed",
  "lattice": [[-3.0264, 3.3047, 0.5680], [-2.6669, -1.9085, -3.1061], [-2.0325, -2.4165, 3.2299]],
  "species": ["Co", "Co", "Co", "Sb", "Nb"],
  "fractional_positions": [[0.0000, 0.0000, 0.5000], [0.5000, 0.0000, 0.0000], [0.0000, 0.5000, 0.0000], [0.0000, 0.0000, 0.0000], [0.5000, 0.5000, 0.5000]]
}

***

{
  "formula": "Sc2NbCoSb",
  "functional": "GGA-PBE",
  "state": "relaxed",
  "lattice": [[-3.6921, 2.7173, 2.2988], [-2.8805, -1.2887, -3.1032], [-1.2359, -4.0849, 2.8436]],
  "species": ["Sc", "Sc", "Nb", "Sb", "Co"],
  "fractional_positions": [[0.0000, 0.0000, 0.5000], [0.5000, 0.0000, 0.0000], [0.0000, 0.0000, 0.0000], [0.5000, 0.5000, 0.5000], [0.0000, 0.5000, 0.0000]]
}

***

{
  "formula": "NbCo2SnSb",
  "functional": "GGA-PBE",
  "state": "relaxed",
  "lattice": [[4.6029, 0.0000, 0.0000], [0.0000, 5.2227, 0.0000], [0.0000, 0.0000, 4.6029]],
  "species": ["Nb", "Sb", "Co", "Co", "Sn"],
  "fractional_positions": [[0.0000, 0.5000, 0.0000], [0.5000, 0.5000, 0.5000], [0.5000, 0.0000, 0.0000], [0.0000, 0.0000, 0.5000], [0.0000, 0.0000, 0.0000]]
}

***

{
  "formula": "NbCoSb2Te",
  "functional": "GGA-PBE",
  "state": "relaxed",
  "e_above_lowest_polymorph_mev_per_atom": 260,
  "lattice": [[-3.2408, 4.0849, 1.2489], [-4.1335, -2.6035, -2.2103], [-1.0719, -2.2867, 4.6980]],
  "species": ["Te", "Nb", "Sb", "Sb", "Co"],
  "fractional_positions": [[0.0000, 0.0000, 0.5000], [0.0000, 0.0000, 0.0000], [0.5000, 0.0000, 0.0000], [0.0000, 0.5000, 0.0000], [0.5000, 0.5000, 0.5000]]
}

***

{
  "formula": "NbCoSbTe2",
  "functional": "GGA-PBE",
  "state": "relaxed",
  "e_above_lowest_polymorph_mev_per_atom": 165,
  "lattice": [[5.3711, 0.0000, 0.0000], [0.0000, 5.3711, 0.0000], [0.0000, 0.0000, 5.4116]],
  "species": ["Nb", "Sb", "Te", "Te", "Co"],
  "fractional_positions": [[0.0000, 0.0000, 0.0000], [0.0000, 0.0000, 0.5000], [0.5000, 0.0000, 0.0000], [0.0000, 0.5000, 0.0000], [0.5000, 0.5000, 0.5000]]
}

***

{
  "formula": "NbCoSb2Te",
  "functional": "GGA-PBE",
  "state": "relaxed",
  "e_above_lowest_polymorph_mev_per_atom": 0,
  "lattice": [[4.7964, 0.0000, 0.0000], [0.0000, 4.7964, 0.0000], [0.0000, 0.0000, 5.2506]],
  "species": ["Co", "Sb", "Sb", "Nb", "Te"],
  "fractional_positions": [[0.0000, 0.0000, 0.0000], [0.5000, 0.0000, 0.0000], [0.0000, 0.5000, 0.0000], [0.5000, 0.5000, 0.5000], [0.0000, 0.0000, 0.5000]]
}

***

Calculated DFT total energy (eV per atom), listed in the same order as above: -5.793, -6.327, -7.800, -7.110, -6.728, -7.835, -5.807, -6.170, -5.283, -4.767, -4.626, -5.028